Mn2HO4 after structural relaxation. Source: Alexandria, functional PBE with a Hubbard U.

POSCAR file:
```
Mn2HO4
1.0
-2.3902 1.5567 0.7165
-0.2151 -2.1543 3.9632
5.9947 7.2427 4.2624
Mn H O
4 2 8
direct
0.0000 0.2751 0.6434
0.0000 0.7249 0.1434
0.5000 0.2710 0.3734
0.5000 0.7290 0.8734
0.0000 0.7290 0.4090
0.0000 0.2710 0.9090
0.0000 0.5173 0.4437
0.0000 0.4827 0.9437
0.5000 0.0906 0.5450
0.5000 0.9094 0.0450
0.0000 0.9746 0.8171
0.0000 0.0254 0.3171
0.5000 0.5040 0.2182
0.5000 0.4960 0.7182
```

Summary:
Its space-group type is Pmc2_1, No. 26. For the energy above the most stable polymorph in this dataset, the calculation gives 0.000 eV per atom. The total energy is -6.807 eV per atom. The value obtained for the density is 4.2 g/cm³.